No. 1
This record from Alexandria describes an optimized crystal structure of Na2ZrCoP4O14. The functional is PBEsol.

Summary:
**ΔE_f (raw)**: -2263.3 meV/atom

a b c (Å): 6.526 6.534 6.931
angles (deg): 85.41 65.81 81.75
Space group P1 (No. 1)
Asymmetric unit:
Na1 0.000 0.000 0.000 (multiplicity 1)
Na2 0.393 0.301 0.701 (multiplicity 1)
Zr1 0.611 0.533 0.079 (multiplicity 1)
Co1 0.787 0.845 0.631 (multiplicity 1)
P1 0.045 0.571 0.225 (multiplicity 1)
P2 0.332 0.808 0.531 (multiplicity 1)
P3 0.458 0.050 0.117 (multiplicity 1)
P4 0.902 0.317 0.630 (multiplicity 1)
O1 0.056 0.402 0.398 (multiplicity 1)
O2 0.059 0.241 0.735 (multiplicity 1)
O3 0.086 0.791 0.675 (multiplicity 1)
O4 0.293 0.573 0.069 (multiplicity 1)
O5 0.294 0.124 0.022 (multiplicity 1)
O6 0.324 0.989 0.359 (multiplicity 1)
O7 0.449 0.611 0.395 (multiplicity 1)
O8 0.470 0.870 0.642 (multiplicity 1)
O9 0.603 0.218 0.121 (multiplicity 1)
O10 0.628 0.856 0.010 (multiplicity 1)
O11 0.738 0.514 0.743 (multiplicity 1)
O12 0.764 0.161 0.603 (multiplicity 1)
O13 0.911 0.496 0.112 (multiplicity 1)
O14 0.937 0.780 0.322 (multiplicity 1)

***

No. 2
This record from Alexandria describes an optimized crystal structure of KBeCu2. The functional is PBEsol.

Summary:
**E_form**: 0.480 eV per atom

a b c (Å): 2.999 2.999 7.382
angles (deg): 90.00 90.00 90.00
Space group P4mm (No. 99)
Asymmetric unit:
K1 0.000 0.000 0.000 (multiplicity 1)
Be1 0.500 0.500 0.359 (multiplicity 1)
Cu1 0.000 0.000 0.471 (multiplicity 1)
Cu2 0.500 0.500 0.655 (multiplicity 1)

***

No. 3
This record from Alexandria describes an optimized crystal structure of AlPb8. The functional is PBEsol.

Summary:
**E_form**: 0.074 eV per atom

a b c (Å): 10.228 10.228 4.901
angles (deg): 90.00 90.00 90.00
Space group I4/mmm (No. 139)
Asymmetric unit:
Al1 0.000 0.000 0.000 (multiplicity 2)
Pb1 0.000 0.327 0.000 (multiplicity 8)
Pb2 0.162 0.162 0.500 (multiplicity 8)

***

No. 4
This record from Alexandria describes an optimized crystal structure of SrBe3Nb. The functional is PBEsol.

Summary:
**E_form**: 2.313 eV per atom

a b c (Å): 4.430 4.430 4.430
angles (deg): 90.00 90.00 90.00
Space group Pm-3m (No. 221)
Asymmetric unit:
Sr1 0.000 0.000 0.000 (multiplicity 1)
Be1 0.000 0.000 0.500 (multiplicity 3)
Nb1 0.500 0.500 0.500 (multiplicity 1)

***

No. 5
This record from Alexandria describes an optimized crystal structure of CoRe2Cl. The functional is PBEsol.

Summary:
**ΔE_f (raw)**: 1039.6 meV/atom
**E above lowest polymorph**: 458.9 meV/atom

a b c (Å): 6.066 6.066 6.066
angles (deg): 90.00 90.00 90.00
Space group F-43m (No. 216)
Asymmetric unit:
Co1 0.000 0.000 0.000 (multiplicity 4)
Re1 0.000 0.000 0.500 (multiplicity 4)
Re2 0.250 0.250 0.250 (multiplicity 4)
Cl1 0.250 0.250 0.750 (multiplicity 4)

***

No. 6
This record from Alexandria describes an optimized crystal structure of TlCu2F2. The functional is PBEsol.

Summary:
**ΔE_f (raw)**: -656.4 meV/atom

a b c (Å): 3.479 3.479 11.962
angles (deg): 90.00 90.00 90.00
Space group I4/mmm (No. 139)
Asymmetric unit:
Tl1 0.000 0.000 0.000 (multiplicity 2)
Cu1 0.000 0.500 0.250 (multiplicity 4)
F1 0.000 0.000 0.377 (multiplicity 4)

***

No. 7
This record from Alexandria describes an optimized crystal structure of ReOs3. The functional is PBEsol.

Summary:
**E_form**: -0.062 eV per atom
**E above lowest polymorph**: 15.9 meV/atom

a b c (Å): 2.741 8.660 4.749
angles (deg): 90.00 90.00 90.00
Space group Imm2 (No. 44)
Asymmetric unit:
Re1 0.000 0.000 0.000 (multiplicity 2)
Os1 0.000 0.250 0.333 (multiplicity 4)
Os2 0.000 0.500 0.999 (multiplicity 2)

***

No. 8
This record from Alexandria describes an optimized crystal structure of SmGePd. The functional is PBEsol.

Summary:
**E_form**: -1.008 eV per atom

a b c (Å): 21.183 4.406 7.555
angles (deg): 90.00 90.00 90.00
Space group Pnma (No. 62)
Asymmetric unit:
Sm1 0.001 0.250 0.212 (multiplicity 4)
Sm2 0.166 0.250 0.293 (multiplicity 4)
Sm3 0.167 0.750 0.710 (multiplicity 4)
Ge1 0.072 0.250 0.591 (multiplicity 4)
Ge2 0.103 0.750 0.090 (multiplicity 4)
Ge3 0.232 0.750 0.088 (multiplicity 4)
Pd1 0.062 0.750 0.418 (multiplicity 4)
Pd2 0.095 0.250 0.922 (multiplicity 4)
Pd3 0.236 0.250 0.920 (multiplicity 4)

***

No. 9
This record from Alexandria describes an optimized crystal structure of SrCa2Cu. The functional is PBEsol.

Summary:
**E_form**: 0.030 eV per atom
**E above lowest polymorph**: 3.5 meV/atom

a b c (Å): 3.701 3.701 9.483
angles (deg): 90.00 90.00 90.00
Space group P4mm (No. 99)
Asymmetric unit:
Sr1 0.000 0.000 0.000 (multiplicity 1)
Ca1 0.000 0.000 0.635 (multiplicity 1)
Ca2 0.500 0.500 0.331 (multiplicity 1)
Cu1 0.500 0.500 0.802 (multiplicity 1)

***

No. 10
This record from Alexandria describes an optimized crystal structure of LaZrCr3. The functional is PBEsol.

Summary:
**E_form**: 1.246 eV per atom

a b c (Å): 4.798 4.798 4.798
angles (deg): 90.00 90.00 90.00
Space group Pm-3m (No. 221)
Asymmetric unit:
La1 0.000 0.000 0.000 (multiplicity 1)
Zr1 0.500 0.500 0.500 (multiplicity 1)
Cr1 0.000 0.500 0.500 (multiplicity 3)

***

No. 11
This record from Alexandria describes an optimized crystal structure of Zn2TeIr. The functional is PBEsol.

Summary:
**ΔE_f (raw)**: 27.3 meV/atom

a b c (Å): 3.982 2.992 12.233
angles (deg): 90.00 90.00 90.00
Space group Amm2 (No. 38)
Asymmetric unit:
Zn1 0.000 0.000 0.000 (multiplicity 2)
Zn2 0.500 0.000 0.126 (multiplicity 2)
Te1 0.000 0.000 0.288 (multiplicity 2)
Ir1 0.500 0.000 0.453 (multiplicity 2)

***

No. 12
This record from Alexandria describes an optimized crystal structure of Tb3Ge13Os4. The functional is PBEsol.

Summary:
**E_form**: -0.396 eV per atom

a b c (Å): 8.966 8.966 8.966
angles (deg): 90.00 90.00 90.00
Space group Pm-3n (No. 223)
Asymmetric unit:
Tb1 0.000 0.250 0.500 (multiplicity 6)
Ge1 0.000 0.000 0.000 (multiplicity 2)
Ge2 0.000 0.299 0.145 (multiplicity 24)
Os1 0.250 0.250 0.250 (multiplicity 8)

***

The records above yield DFT total energy values of -7.5489; -2.9707; -3.9345; -2.6193; -8.0627; -3.6871; -12.5565; -6.3383; -2.5804; -7.7866; -4.1010; -6.8009 eV per atom, respectively.